A geometry-optimized LiVBiO4 structure, computed with PBE+U.

a b c (Å): 5.6876 5.6579 6.3832
angles (deg): 90.00 107.38 90.00
Positions (direct):
Li (0.1553, 0.2500, 0.4638)
Li (0.8447, 0.7500, 0.5362)
V (0.2887, 0.7500, 0.3397)
V (0.7113, 0.2500, 0.6603)
Bi (0.2456, 0.2500, 0.0285)
Bi (0.7544, 0.7500, 0.9715)
O (0.0526, 0.5147, 0.2532)
O (0.0526, 0.9853, 0.2532)
O (0.4537, 0.7500, 0.1328)
O (0.4924, 0.2500, 0.3955)
O (0.5076, 0.7500, 0.6045)
O (0.5463, 0.2500, 0.8672)
O (0.9474, 0.0147, 0.7468)
O (0.9474, 0.4853, 0.7468)

Summary:
Total magnetic moment in μB/f.u.: 1.00
Raw total energy in eV per cell: -88.54